[1]
Entry from the Alexandria database: a geometry-optimized Al2TlAu structure (PBE).

Geometry as POSCAR:
```
Al2TlAu
1.0
-3.9542 2.7942 -0.8110
-2.8593 -0.8644 -3.8959
-4.4964 -1.8699 0.6218
Al Au Tl
2 1 1
direct
0.0000 0.0000 0.0000
0.2500 0.2500 0.2500
0.5000 0.5000 0.5000
0.7500 0.7500 0.7500
```

Properties
energy relative to the elements: 0.243 eV per atom
calculated volume: 20.92 Å³ per atom
energy above the most stable polymorph in this dataset: 296 meV/atom
symmetry: F-43m (216)



[2]
Entry from the Alexandria database: a geometry-optimized Al2TlAu structure (PBE).

Geometry as POSCAR:
```
Al2TlAu
1.0
4.5995 0.0000 0.0000
0.0000 3.8405 0.0202
0.0000 1.9301 4.8450
Al Au Tl
2 1 1
direct
0.5000 0.4433 0.2436
0.0000 0.0275 0.0731
0.0000 0.3175 0.4898
0.5000 0.7117 0.6935
```

Properties
energy relative to the elements: 0.042 eV per atom
calculated volume: 21.35 Å³ per atom
energy above the most stable polymorph in this dataset: 96 meV/atom
symmetry: Pm (6)



[3]
Entry from the Alexandria database: a geometry-optimized AlTlAu2 structure (PBE).

Geometry as POSCAR:
```
AlTlAu2
1.0
7.6767 1.9314 -0.2255
5.0602 6.0873 0.2255
-5.9008 -4.7521 2.3043
Al Tl Au
1 1 2
direct
0.7880 0.2880 0.5000
0.5594 0.5594 0.0000
0.2237 0.7237 0.5000
0.9289 0.9289 0.0000
```

Properties
energy relative to the elements: -0.155 eV per atom
calculated volume: 22.04 Å³ per atom
energy above the most stable polymorph in this dataset: 10 meV/atom
symmetry: Imm2 (44)



[4]
Entry from the Alexandria database: a geometry-optimized Al2TlAu8 structure (PBE).

Geometry as POSCAR:
```
Al2TlAu8
1.0
3.5379 0.0000 -1.0170
-0.7665 6.4826 -2.6663
0.5653 0.4618 8.6287
Au Tl Al
8 1 2
direct
0.4064 0.5581 0.8129
0.3211 0.0507 0.6421
0.0520 0.7143 0.1039
0.6789 0.9493 0.3579
0.8202 0.7254 0.6405
0.5936 0.4419 0.1871
0.9480 0.2857 0.8961
0.1798 0.2746 0.3595
0.5000 0.0000 0.0000
0.7975 0.3285 0.5951
0.2025 0.6715 0.4049
```

Properties
energy relative to the elements: -0.156 eV per atom
calculated volume: 18.76 Å³ per atom
symmetry: C2/m (12)



[5]
Entry from the Alexandria database: a geometry-optimized AlTlAu2 structure (PBE).

Geometry as POSCAR:
```
AlTlAu2
1.0
-2.6373 3.5886 3.9605
-5.8502 0.9648 -0.6029
4.5750 -3.6720 1.0508
Au Al Tl
2 1 1
direct
0.9560 0.9560 0.0000
0.5440 0.5440 0.0000
0.7500 0.2500 0.5000
0.2500 0.7500 0.5000
```

Properties
energy relative to the elements: -0.008 eV per atom
calculated volume: 20.73 Å³ per atom
energy above the most stable polymorph in this dataset: 157 meV/atom
symmetry: Immm (71)



[6]
Entry from the Alexandria database: a geometry-optimized AlTlAu2 structure (PBE).

Geometry as POSCAR:
```
AlTlAu2
1.0
-2.8328 -0.0480 -3.9868
-3.1795 -3.6506 -0.6970
-4.8032 0.8301 0.4028
Au Al Tl
2 1 1
direct
0.0000 0.0000 0.0000
0.2500 0.2500 0.2500
0.5000 0.5000 0.5000
0.7500 0.7500 0.7500
```

Properties
energy relative to the elements: 0.139 eV per atom
calculated volume: 20.68 Å³ per atom
energy above the most stable polymorph in this dataset: 304 meV/atom
symmetry: F-43m (216)



What is the energy relative to the elements in the fourth record?
-0.156 eV per atom